First-principles (PBE) data for a relaxed structure of Dy4Hg5Pd2, as listed in the Alexandria database.

abc: 3.5847 7.6637 9.6495
angles: 93.67 90.00 90.00
With the nearest neighbours (Å) after each atom.
Atoms (fractional coordinates):
Hg 0.0000 0.4517 0.6729  1 Pd 2.92, 1 Hg 3.15, 2 Dy 3.24
Hg 0.0000 0.1689 0.1424  1 Pd 2.91, 1 Hg 2.96, 2 Dy 3.22
Hg 0.0000 0.5483 0.3271  1 Pd 2.92, 1 Hg 3.15, 2 Dy 3.24
Hg 0.0000 0.5000 0.0000  4 Hg 2.96-3.15, 4 Dy 3.28
Hg 0.0000 0.8311 0.8576  1 Pd 2.91, 1 Hg 2.96, 2 Dy 3.22
Pd 0.0000 0.0709 0.6358  1 Pd 2.77, 6 Dy 2.86-2.98, 2 Hg 2.91-2.92
Pd 0.0000 0.9291 0.3642  1 Pd 2.77, 6 Dy 2.86-2.98, 2 Hg 2.91-2.92
Dy 0.5000 0.8198 0.1447  2 Pd 2.86
Dy 0.5000 0.2330 0.4362  4 Pd 2.96-2.98, 4 Hg 3.24-3.28
Dy 0.5000 0.1802 0.8553  2 Pd 2.86
Dy 0.5000 0.7670 0.5638  4 Pd 2.96-2.98, 4 Hg 3.24-3.28

Output
The value obtained for the magnetization is 0.0 μB per formula unit. For the density of states at the Fermi level, the calculation gives 7.3 states/eV per cell. Its mass density is 11.71 g/cm³. The calculation puts the formation energy at -6.42 eV per formula unit.

---

First-principles (PBE) data for a relaxed structure of DyHg2Pd2, as listed in the Alexandria database.

abc: 4.0386 4.0386 7.2984
angles: 106.43 106.43 89.98
With the nearest neighbours (Å) after each atom.
Atoms (fractional coordinates):
Pd 0.5944 0.5944 0.1945  1 Pd 2.60, 4 Hg 2.87
Pd 0.4056 0.4056 0.8055  1 Pd 2.60, 4 Hg 2.87
Hg 0.2501 0.7499 0.5000  4 Hg 2.85-2.86, 4 Pd 2.87
Hg 0.7499 0.2501 0.5000  4 Hg 2.85-2.86, 4 Pd 2.87
Dy 0.0000 0.0000 0.0000  8 Pd 3.11-3.16

Output
The value obtained for the magnetization is 0.0 μB per formula unit. For the density of states at the Fermi level, the calculation gives 3.2 states/eV per cell. Its mass density is 11.82 g/cm³. The calculation puts the formation energy at -1.91 eV per formula unit.

---

Repeat the first record exactly.
First-principles (PBE) data for a relaxed structure of Dy4Hg5Pd2, as listed in the Alexandria database.

abc: 3.5847 7.6637 9.6495
angles: 93.67 90.00 90.00
With the nearest neighbours (Å) after each atom.
Atoms (fractional coordinates):
Hg 0.0000 0.4517 0.6729  1 Pd 2.92, 1 Hg 3.15, 2 Dy 3.24
Hg 0.0000 0.1689 0.1424  1 Pd 2.91, 1 Hg 2.96, 2 Dy 3.22
Hg 0.0000 0.5483 0.3271  1 Pd 2.92, 1 Hg 3.15, 2 Dy 3.24
Hg 0.0000 0.5000 0.0000  4 Hg 2.96-3.15, 4 Dy 3.28
Hg 0.0000 0.8311 0.8576  1 Pd 2.91, 1 Hg 2.96, 2 Dy 3.22
Pd 0.0000 0.0709 0.6358  1 Pd 2.77, 6 Dy 2.86-2.98, 2 Hg 2.91-2.92
Pd 0.0000 0.9291 0.3642  1 Pd 2.77, 6 Dy 2.86-2.98, 2 Hg 2.91-2.92
Dy 0.5000 0.8198 0.1447  2 Pd 2.86
Dy 0.5000 0.2330 0.4362  4 Pd 2.96-2.98, 4 Hg 3.24-3.28
Dy 0.5000 0.1802 0.8553  2 Pd 2.86
Dy 0.5000 0.7670 0.5638  4 Pd 2.96-2.98, 4 Hg 3.24-3.28

Output
The value obtained for the magnetization is 0.0 μB per formula unit. For the density of states at the Fermi level, the calculation gives 7.3 states/eV per cell. Its mass density is 11.71 g/cm³. The calculation puts the formation energy at -6.42 eV per formula unit.